Hf2AlAu2: relaxed, PBE.

Summary:
ΔE to the lowest computed polymorph (eV per atom): 0.016
Total moment (μB/f.u.): 0.00
DFT formation energy (meV/atom): -446
Space-group type: No. 127

a = 6.967 Å, b = 6.967 Å, c = 4.033 Å
α = 90.00°, β = 90.00°, γ = 90.00°
Positions (direct):
Hf: 0.167 0.333 0.000
Hf: 0.333 0.833 0.000
Hf: 0.667 0.167 0.000
Hf: 0.833 0.667 0.000
Al: 0.000 0.000 0.500
Al: 0.500 0.500 0.500
Au: 0.141 0.641 0.500
Au: 0.359 0.141 0.500
Au: 0.641 0.859 0.500
Au: 0.859 0.359 0.500